A plane-wave DFT calculation with PBE was carried out for a geometry-optimized CrCdIr structure.

It has space group P-6m2 (No. 187), with a = 4.4074 Å, b = 4.4074 Å, c = 2.9358 Å, α = 90.00°, β = 90.00° and γ = 120.00°. Symmetry generates all atoms from Cr at (0.0000, 0.0000, 0.0000), Cd at (0.6667, 0.3333, 0.5000) and Ir at (0.3333, 0.6667, 0.0000).

For the formation energy, the calculation gives 0.306 eV/atom. The value obtained for the calculated volume is 49 Å³/cell.

=====

A plane-wave DFT calculation with PBE was carried out for a geometry-optimized Cs2RbSe8 structure.

It has space group P-1 (No. 2), with a = 5.977 Å, b = 7.318 Å, c = 11.262 Å, α = 71.29°, β = 84.60° and γ = 72.48°. Symmetry generates all atoms from Cs at (0.001, 0.168, 0.173), Rb at (0.500, 0.500, 0.500), Se at (0.001, 0.625, 0.261), Se at (0.193, 0.003, 0.501), Se at (0.366, 0.219, 0.857) and Se at (0.368, 0.580, 0.144).

The value obtained for the raw formation energy is -0.521 eV per atom. The value obtained for the calculated volume is 445 Å³/cell.

=====

A plane-wave DFT calculation with PBE was carried out for a geometry-optimized BPCl2O structure.

It has space group P4/mmm (No. 123), with a = 4.205 Å, b = 4.205 Å, c = 4.334 Å, α = 90.00°, β = 90.00° and γ = 90.00°. Symmetry generates all atoms from B at (0.000, 0.000, 0.000), P at (0.000, 0.000, 0.500), Cl at (0.000, 0.500, 0.000) and O at (0.500, 0.500, 0.500).

The value obtained for the raw formation energy is 1.026 eV per atom. The value obtained for the calculated volume is 77 Å³/cell.

=====

A plane-wave DFT calculation with PBE was carried out for a geometry-optimized BaLaI2 structure.

It has space group R-3m (No. 166, hexagonal axes), with a = 4.2285 Å, b = 4.2285 Å, c = 34.7046 Å, α = 90.00°, β = 90.00° and γ = 120.00°. Symmetry generates all atoms from Ba at (0.0000, 0.0000, 0.0000), La at (0.0000, 0.0000, 0.5000) and I at (0.0000, 0.0000, 0.1023).

The value obtained for the raw formation energy is -1.012 eV per atom. The value obtained for the calculated volume is 537 Å³/cell.

=====

A plane-wave DFT calculation with PBE was carried out for a geometry-optimized Al3GaRu structure.

It has space group Pm-3m (No. 221), with a = 4.577 Å, b = 4.577 Å, c = 4.577 Å, α = 90.00°, β = 90.00° and γ = 90.00°. Symmetry generates all atoms from Al at (0.000, 0.000, 0.500), Ga at (0.000, 0.000, 0.000) and Ru at (0.500, 0.500, 0.500).

For the formation energy, the calculation gives 1.069 eV/atom. The value obtained for the calculated volume is 96 Å³/cell.

=====

A plane-wave DFT calculation with PBE was carried out for a geometry-optimized SmAlCo4 structure.

It has space group F-43m (No. 216), with a = 6.985 Å, b = 6.985 Å, c = 6.985 Å, α = 90.00°, β = 90.00° and γ = 90.00°. Symmetry generates all atoms from Sm at (0.000, 0.000, 0.000), Al at (0.250, 0.250, 0.250) and Co at (0.124, 0.124, 0.624).

For the formation energy, the calculation gives -0.150 eV/atom. The value obtained for the calculated volume is 341 Å³/cell.

=====

A plane-wave DFT calculation with PBE was carried out for a geometry-optimized Ag2Pd4Au structure.

It has space group I4/mmm (No. 139), with a = 4.961 Å, b = 4.961 Å, c = 13.277 Å, α = 90.00°, β = 90.00° and γ = 90.00°. Symmetry generates all atoms from Ag at (0.000, 0.000, 0.105), Pd at (0.000, 0.000, 0.305), Pd at (0.000, 0.500, 0.000) and Au at (0.000, 0.000, 0.500).

For the formation energy, the calculation gives 0.830 eV/atom. The value obtained for the calculated volume is 327 Å³/cell.

=====

A plane-wave DFT calculation with PBE was carried out for a geometry-optimized TcRuRh4 structure.

It has space group F-43m (No. 216), with a = 7.101 Å, b = 7.101 Å, c = 7.101 Å, α = 90.00°, β = 90.00° and γ = 90.00°. Symmetry generates all atoms from Tc at (0.000, 0.000, 0.000), Ru at (0.250, 0.250, 0.250) and Rh at (0.125, 0.125, 0.625).

For the formation energy, the calculation gives 0.452 eV/atom. The value obtained for the calculated volume is 358 Å³/cell.

=====

A plane-wave DFT calculation with PBE was carried out for a geometry-optimized PRhS2Cl structure.

It has space group P4/mmm (No. 123), with a = 4.474 Å, b = 4.474 Å, c = 4.573 Å, α = 90.00°, β = 90.00° and γ = 90.00°. Symmetry generates all atoms from P at (0.000, 0.000, 0.000), Rh at (0.500, 0.500, 0.000), S at (0.000, 0.500, 0.500) and Cl at (0.000, 0.000, 0.500).

The value obtained for the raw formation energy is 1.522 eV per atom. The value obtained for the calculated volume is 92 Å³/cell.

=====

A plane-wave DFT calculation with PBE was carried out for a geometry-optimized Rb3DySe3 structure.

It has space group C2/m (No. 12), with a = 9.510 Å, b = 14.715 Å, c = 8.483 Å, α = 90.00°, β = 100.20° and γ = 90.00°. Symmetry generates all atoms from Rb at (0.000, 0.181, 0.000), Rb at (0.000, 0.249, 0.500), Rb at (0.116, 0.500, 0.864), Dy at (0.179, 0.000, 0.642), Se at (0.099, 0.000, 0.310) and Se at (0.188, 0.351, 0.225).

The value obtained for the raw formation energy is -1.405 eV per atom. The value obtained for the calculated volume is 1168 Å³/cell.

=====

A plane-wave DFT calculation with PBE was carried out for a geometry-optimized Ca2PtBr structure.

It has space group F-43m (No. 216), with a = 7.291 Å, b = 7.291 Å, c = 7.291 Å, α = 90.00°, β = 90.00° and γ = 90.00°. Symmetry generates all atoms from Ca at (0.000, 0.000, 0.000), Ca at (0.250, 0.250, 0.250), Pt at (0.250, 0.250, 0.750) and Br at (0.000, 0.000, 0.500).

The value obtained for the raw formation energy is -0.386 eV per atom. The value obtained for the calculated volume is 388 Å³/cell.

=====

A plane-wave DFT calculation with PBE was carried out for a geometry-optimized CrNiS2N structure.

It has space group P4/mmm (No. 123), with a = 4.596 Å, b = 4.596 Å, c = 3.468 Å, α = 90.00°, β = 90.00° and γ = 90.00°. Symmetry generates all atoms from Cr at (0.000, 0.000, 0.000), Ni at (0.500, 0.500, 0.500), S at (0.000, 0.500, 0.000) and N at (0.000, 0.000, 0.500).

The value obtained for the raw formation energy is 0.473 eV per atom. The value obtained for the calculated volume is 73 Å³/cell.

=====

- Which value of calculated volume does entry 4 give?
  537 Å³/cell

=====

- Which of these has the highest calculated volume?
  Rb3DySe3

=====

- Which of these has the highest calculated volume?
  Rb3DySe3

=====

- Number 5 is which compound?
  Al3GaRu